Entry 1:
Entry from the Alexandria database: an optimized crystal structure of Nd8TmIn6 (PBE-GGA).

Calculated values
* formation energy: -0.241 eV/atom
* calculated volume: 490 Å³/cell
* ρ: 6.82 Mg/m³
* M_tot: 0.00 μB/f.u.

Unit cell a=9.2229 b=9.2229 c=8.5160 alpha=57.21 beta=57.21 gamma=60.00
With the nearest neighbours (Å) after each atom.
Positions (direct):
Nd 0.1150 0.4496 0.6545  5 In 3.27-3.38
In 0.7287 0.3803 0.8375  1 Tm 3.19, 7 Nd 3.27-3.38
In 0.9465 0.2713 0.1625  1 Tm 3.19, 7 Nd 3.27-3.38
Nd 0.8850 0.5504 0.3455  5 In 3.27-3.38
In 0.3803 0.0535 0.8375  1 Tm 3.19, 7 Nd 3.27-3.38
Tm 0.0000 0.0000 0.0000  6 In 3.19
In 0.0535 0.7287 0.8375  1 Tm 3.19, 7 Nd 3.27-3.38
Nd 0.5504 0.2190 0.3455  5 In 3.27-3.38
Nd 0.4496 0.7810 0.6545  5 In 3.27-3.38
Nd 0.2190 0.8850 0.3455  5 In 3.27-3.38
In 0.2713 0.6197 0.1625  1 Tm 3.19, 7 Nd 3.27-3.38
Nd 0.6653 0.6653 0.0040  6 In 3.29-3.30
Nd 0.3347 0.3347 0.9960  6 In 3.29-3.30
In 0.6197 0.9465 0.1625  1 Tm 3.19, 7 Nd 3.27-3.38
Nd 0.7810 0.1150 0.6545  5 In 3.27-3.38

Entry 2:
Entry from the Alexandria database: an optimized crystal structure of KNaAs (PBE-GGA).

Calculated values
* formation energy: -0.248 eV/atom
* energy above the most stable polymorph in this dataset: 41 meV per atom
* calculated volume: 86 Å³/cell
* ρ: 2.66 Mg/m³
* M_tot: 0.00 μB/f.u.

Unit cell a=3.6227 b=5.2226 c=5.2226 alpha=120.00 beta=90.00 gamma=90.00
With the nearest neighbours (Å) after each atom.
Positions (direct):
K 0.6662 0.3333 0.6667  6 Na 3.51-3.52, 6 As 3.52, 2 K 3.62
Na 0.1689 0.6667 0.3333  3 As 3.02
As 0.1649 0.0000 0.0000  3 Na 3.02

Entry 3:
Entry from the Alexandria database: an optimized crystal structure of NdSmPt2 (PBE-GGA).

Calculated values
* formation energy: -1.172 eV/atom
* energy above the most stable polymorph in this dataset: 0 meV per atom
* calculated volume: 96 Å³/cell
* ρ: 11.83 Mg/m³
* M_tot: 0.00 μB/f.u.

Unit cell a=3.9036 b=4.5470 c=5.7560 alpha=90.00 beta=109.79 gamma=90.00
With the nearest neighbours (Å) after each atom.
Positions (direct):
Sm 0.4461 0.5000 0.4307  7 Pt 2.99-3.12
Pt 0.1696 0.5000 0.8790  2 Pt 2.96, 3 Sm 2.99-3.12, 4 Nd 3.05
Nd 0.7202 0.0000 0.9799  7 Pt 2.97-3.13
Pt 0.9951 0.0000 0.5283  2 Pt 2.96, 3 Nd 2.97-3.13, 4 Sm 3.04

Entry 4:
Entry from the Alexandria database: an optimized crystal structure of CaPt2I (PBE-GGA).

Calculated values
* energy above the most stable polymorph in this dataset: 0 meV per atom
* calculated volume: 179 Å³/cell
* ρ: 10.34 Mg/m³
* M_tot: 0.00 μB/f.u.
* E_form (uncorrected): -0.220 eV/atom

Unit cell a=4.1730 b=4.1730 c=10.6878 alpha=78.74 beta=78.74 gamma=90.00
With the nearest neighbours (Å) after each atom.
Positions (direct):
Pt 0.3750 0.3860 0.7500  4 Pt 2.89-3.02, 2 Ca 2.95, 2 I 2.98
Pt 0.8750 0.8640 0.7500  4 Pt 2.89-3.02, 2 Ca 2.95, 2 I 2.98
I 0.0000 0.0000 0.0000  4 Ca 2.95, 4 Pt 2.98
Ca 0.2500 0.7500 0.5000  4 Pt 2.95, 4 I 2.95
Ca 0.5000 0.5000 0.0000  4 Pt 2.95, 4 I 2.95
I 0.7500 0.2500 0.5000  4 Ca 2.95, 4 Pt 2.98
Pt 0.6140 0.1250 0.2500  4 Pt 2.89-3.02, 2 Ca 2.95, 2 I 2.98
Pt 0.1360 0.6250 0.2500  4 Pt 2.89-3.02, 2 Ca 2.95, 2 I 2.98